Model P:
Np3Ni2Ge7 | PBE | relaxed

a b c (Å): 4.1742 4.2053 12.7696
angles (deg): 90.00 99.39 90.00
Space group P2/m (No. 10)
One atom of each set of equivalent atoms:
Np1 0.0000 0.0000 0.0000 (multiplicity 1)
Np2 0.3137 0.5000 0.6272 (multiplicity 2)
Ni1 0.1285 0.0000 0.2583 (multiplicity 2)
Ge1 0.0884 0.5000 0.1768 (multiplicity 2)
Ge2 0.2208 0.0000 0.4420 (multiplicity 2)
Ge3 0.4126 0.0000 0.8241 (multiplicity 2)
Ge4 0.5000 0.5000 0.0000 (multiplicity 1)

Output
Density of states at the Fermi level, states/eV/atom: 2.19
Magnetization, Bohr magnetons per cell: 11.8

=====

Model Q:
Np3Ni2Ge7 | PBE | relaxed

a b c (Å): 4.1634 25.8667 4.0967
angles (deg): 90.00 90.00 90.00
Space group Cmmm (No. 65)
One atom of each set of equivalent atoms:
Np1 0.0000 0.0000 0.0000 (multiplicity 2)
Np2 0.0000 0.1794 0.0000 (multiplicity 4)
Ni1 0.0000 0.3645 0.5000 (multiplicity 4)
Ge1 0.0000 0.0881 0.5000 (multiplicity 4)
Ge2 0.0000 0.2763 0.5000 (multiplicity 4)
Ge3 0.0000 0.4123 0.0000 (multiplicity 4)
Ge4 0.0000 0.5000 0.5000 (multiplicity 2)

Output
Density of states at the Fermi level, states/eV/atom: 2.17
Magnetization, Bohr magnetons per cell: 22.9

=====

On energetic grounds, model P is preferred over the next structure by 45 meV/atom.